Compound: GdCdPdPb
Source: Alexandria via LeMat-Bulk
Functional: PBE
Structure: relaxed

a = 5.071 Å, b = 5.071 Å, c = 5.071 Å
α = 60.00°, β = 60.00°, γ = 60.00°
Sites, in units of the cell vectors:
Pb1 0.000 0.000 0.000
Gd1 0.500 0.500 0.500
Pd1 0.250 0.250 0.250
Cd1 0.750 0.750 0.750

For the energy, the calculation gives -6.39 eV/atom. The calculated formation energy is -40.5 kJ per mole of atoms. The value obtained for the theoretical density is 10.50 g/cm³.